CsNF3: optimized geometry, PBE-GGA.

Properties
- ΔE_f (raw): 148 meV per atom
- Offset from the most stable computed form: 1078 meV per atom
- Total magnetization: 2.568 μB/f.u.

Cell lengths 4.9108, 4.9108, 4.9108 Å; angles 90.00, 90.00, 90.00 degrees
Last column: nearest neighbours and their distance in Å.
Atoms (fractional coordinates):
Cs (0.0000, 0.0000, 0.0000)  6 F 2.46
N (0.5000, 0.5000, 0.5000)  12 F 3.47
F (0.0000, 0.5000, 0.0000)  2 Cs 2.46
F (0.0000, 0.0000, 0.5000)  2 Cs 2.46
F (0.5000, 0.0000, 0.0000)  2 Cs 2.46